An optimized crystal structure of KZnP2, computed with PBE.

The space group is P4/mmm (No. 123) and the conventional cell measures 3.546, 3.546 and 6.681 Å, with angles of 90.00, 90.00 and 90.00 degrees. Symmetry generates all atoms from K at (0.000, 0.000, 0.000), Zn at (0.000, 0.000, 0.500) and P at (0.500, 0.500, 0.339).

As for the total energy: -3.347 eV per atom. The calculated density comes out at 3.290 g cm⁻³. As for the calculated formation energy: -0.05 eV/atom.